Material: Th3NpN6
Method: DFT, PBE-GGA
State: relaxed

For the energy relative to the elements, uncorrected, the calculation gives -13.89 eV/f.u. As for the density of states at the Fermi level: 24.5 states/eV/cell. As for the size of the total moment: 0.100 μB/atom. Its energy above the most stable polymorph in this dataset is 1.19 eV per formula unit.

The space group is Cmc2_1 (No. 36) and the conventional cell measures 9.614, 11.716 and 5.898 Å, with angles of 90.00, 90.00 and 90.00 degrees. The asymmetric unit holds Th at (0.000, 0.103, 0.000), Th at (0.219, 0.383, 0.959), Np at (0.000, 0.351, 0.440), N at (0.000, 0.276, 0.733), N at (0.000, 0.464, 0.183), N at (0.147, 0.252, 0.254) and N at (0.156, 0.009, 0.726).

=====

Material: Th3NpN4
Method: DFT, PBE-GGA
State: relaxed

For the energy relative to the elements, uncorrected, the calculation gives -11.35 eV/f.u. As for the density of states at the Fermi level: 8.6 states/eV/cell. As for the size of the total moment: 0.477 μB/atom.

The space group is Pm-3m (No. 221) and the conventional cell measures 5.123, 5.123 and 5.123 Å, with angles of 90.00, 90.00 and 90.00 degrees. The asymmetric unit holds Th at (0.000, 0.000, 0.500), Np at (0.500, 0.500, 0.500), N at (0.000, 0.000, 0.000) and N at (0.000, 0.500, 0.500).